Entry from the Alexandria database: a geometry-optimized Fe2AgMoF structure (PBEsol).

For the final energy, the calculation gives -5.092 eV per atom. The formation energy without anion corrections comes out at 1.895 eV per atom. As for the symmetry: P4/mmm (123).

The structure in POSCAR format:
```
Fe2AgMoF
1.0
4.6631 0.0000 0.0000
0.0000 4.6631 0.0000
0.0000 0.0000 5.0655
Fe Ag Mo F
2 1 1 1
Cartesian
0.0000 2.3315 0.0000
2.3315 0.0000 0.0000
0.0000 0.0000 0.0000
0.0000 0.0000 2.5328
2.3315 2.3315 2.5328
```

Entry from the Alexandria database: a geometry-optimized Sr2ReRu structure (PBEsol).

For the final energy, the calculation gives -6.278 eV per atom. As for the symmetry: P4mm (99). The calculation puts the energy relative to the elements at 0.518 eV per atom. The excess energy over the best structure of this formula in the dataset comes out at 0.000 eV/atom.

The structure in POSCAR format:
```
Sr2ReRu
1.0
3.2614 0.0000 0.0000
0.0000 3.2614 0.0000
0.0000 0.0000 9.4516
Sr Re Ru
2 1 1
Cartesian
0.0000 0.0000 0.0000
1.6307 1.6307 3.7407
0.0000 0.0000 6.0886
1.6307 1.6307 7.1536
```

Entry from the Alexandria database: a geometry-optimized Cd4Ni structure (PBEsol).

For the final energy, the calculation gives -2.177 eV per atom. As for the symmetry: I4/m (87). The calculation puts the energy relative to the elements at 0.013 eV per atom.

The structure in POSCAR format:
```
Cd4Ni
1.0
-3.8051 3.8051 1.5581
3.8051 -3.8051 1.5581
3.8051 3.8051 -1.5581
Cd Ni
4 1
Cartesian
5.5271 0.5778 0.0000
0.5778 2.0832 0.0000
3.2274 1.7220 1.5581
-1.7220 3.2274 1.5581
0.0000 0.0000 1.5581
```

Entry from the Alexandria database: a geometry-optimized ZrHgSe2 structure (PBEsol).

For the final energy, the calculation gives -4.813 eV per atom. The formation energy without anion corrections comes out at -0.473 eV per atom. As for the symmetry: C2/m (12). The excess energy over the best structure of this formula in the dataset comes out at 0.490 eV/atom.

The structure in POSCAR format:
```
ZrHgSe2
1.0
3.3621 -3.3601 0.0000
3.3621 3.3601 0.0000
-0.0558 0.0000 3.4927
Zr Hg Se
1 1 2
Cartesian
0.0000 0.0000 0.0000
3.3621 0.0000 0.0000
1.6532 1.6801 1.7464
1.6532 -1.6801 1.7464
```

Entry from the Alexandria database: a geometry-optimized TaSN2F structure (PBEsol).

For the final energy, the calculation gives -6.201 eV per atom. The formation energy without anion corrections comes out at 0.983 eV per atom. As for the symmetry: P4/mmm (123). The excess energy over the best structure of this formula in the dataset comes out at 1.110 eV/atom.

The structure in POSCAR format:
```
TaSN2F
1.0
3.8007 0.0000 0.0000
0.0000 3.8007 0.0000
0.0000 0.0000 3.6461
Ta S N F
1 1 2 1
Cartesian
0.0000 0.0000 0.0000
1.9003 1.9003 1.8230
0.0000 1.9003 1.8230
1.9003 0.0000 1.8230
1.9003 1.9003 0.0000
```

Entry from the Alexandria database: a geometry-optimized La2AgAs structure (PBEsol).

For the final energy, the calculation gives -5.461 eV per atom. As for the symmetry: Imm2 (44). The calculation puts the energy relative to the elements at -0.684 eV per atom.

The structure in POSCAR format:
```
La2AgAs
1.0
-2.0203 2.3149 5.2470
2.0203 -2.3149 5.2470
2.0203 2.3149 -5.2470
La Ag As
2 1 1
Cartesian
0.0000 0.0000 0.0000
0.0000 2.3149 2.4084
2.0203 0.0000 2.7904
0.0000 0.0000 4.8037
```